# CsCu2Hg2, optimized geometry, DFT PBE-GGA
data_CsCu2Hg2
_chemical_formula_sum 'Cs2 Cu4 Hg4'
_symmetry_space_group_name_H-M 'I 4/m m m'
_symmetry_Int_Tables_number 139
_symmetry_space_group_name_Hall '-I 4 2'
_cell_length_a 4.989
_cell_length_b 4.989
_cell_length_c 10.692
_cell_angle_alpha 90.00
_cell_angle_beta 90.00
_cell_angle_gamma 90.00
loop_
_atom_site_label
_atom_site_type_symbol
_atom_site_fract_x
_atom_site_fract_y
_atom_site_fract_z
Cs1 Cs 0.000 0.000 0.000
Cu1 Cu 0.000 0.000 0.384
Hg1 Hg 0.000 0.500 0.250
# Calculated density ... 8.2 g/cm³
# Calculated formation energy ... 148 meV/atom
# Spin magnetization ... 0.00 μB per formula unit


# CsCu3Hg, optimized geometry, DFT PBE-GGA
data_CsCu3Hg
_chemical_formula_sum 'Cs1 Cu3 Hg1'
_symmetry_space_group_name_H-M 'P m -3 m'
_symmetry_Int_Tables_number 221
_symmetry_space_group_name_Hall '-P 4 2 3'
_cell_length_a 5.775
_cell_length_b 5.775
_cell_length_c 5.775
_cell_angle_alpha 90.00
_cell_angle_beta 90.00
_cell_angle_gamma 90.00
loop_
_atom_site_label
_atom_site_type_symbol
_atom_site_fract_x
_atom_site_fract_y
_atom_site_fract_z
Cs1 Cs 0.000 0.000 0.000
Cu1 Cu 0.000 0.000 0.500
Hg1 Hg 0.500 0.500 0.500
# Calculated density ... 4.5 g/cm³
# Calculated formation energy ... 1595 meV/atom
# Spin magnetization ... 0.00 μB per formula unit


# Cs2CuHg2, optimized geometry, DFT PBE-GGA
data_Cs2CuHg2
_chemical_formula_sum 'Cs4 Cu2 Hg4'
_symmetry_space_group_name_H-M 'I 4/m m m'
_symmetry_Int_Tables_number 139
_symmetry_space_group_name_Hall '-I 4 2'
_cell_length_a 7.369
_cell_length_b 7.369
_cell_length_c 8.150
_cell_angle_alpha 90.00
_cell_angle_beta 90.00
_cell_angle_gamma 90.00
loop_
_atom_site_label
_atom_site_type_symbol
_atom_site_fract_x
_atom_site_fract_y
_atom_site_fract_z
Cs1 Cs 0.000 0.500 0.250
Cu1 Cu 0.000 0.000 0.000
Hg1 Hg 0.000 0.000 0.320
# Calculated density ... 5.5 g/cm³
# Calculated formation energy ... 45 meV/atom
# Spin magnetization ... 0.00 μB per formula unit


# CsCu2Hg2, optimized geometry, DFT PBE-GGA
data_CsCu2Hg2
_chemical_formula_sum 'Cs2 Cu4 Hg4'
_symmetry_space_group_name_H-M 'I 4/m m m'
_symmetry_Int_Tables_number 139
_symmetry_space_group_name_Hall '-I 4 2'
_cell_length_a 5.058
_cell_length_b 5.058
_cell_length_c 11.962
_cell_angle_alpha 90.00
_cell_angle_beta 90.00
_cell_angle_gamma 90.00
loop_
_atom_site_label
_atom_site_type_symbol
_atom_site_fract_x
_atom_site_fract_y
_atom_site_fract_z
Cs1 Cs 0.000 0.000 0.000
Cu1 Cu 0.000 0.500 0.250
Hg1 Hg 0.000 0.000 0.316
# Calculated density ... 7.2 g/cm³
# Calculated formation energy ... 140 meV/atom
# Spin magnetization ... 0.00 μB per formula unit


# CsCu3Hg, optimized geometry, DFT PBE-GGA
data_CsCu3Hg
_chemical_formula_sum 'Cs1 Cu3 Hg1'
_symmetry_space_group_name_H-M 'P m -3 m'
_symmetry_Int_Tables_number 221
_symmetry_space_group_name_Hall '-P 4 2 3'
_cell_length_a 5.131
_cell_length_b 5.131
_cell_length_c 5.131
_cell_angle_alpha 90.00
_cell_angle_beta 90.00
_cell_angle_gamma 90.00
loop_
_atom_site_label
_atom_site_type_symbol
_atom_site_fract_x
_atom_site_fract_y
_atom_site_fract_z
Cs1 Cs 0.000 0.000 0.000
Cu1 Cu 0.000 0.500 0.500
Hg1 Hg 0.500 0.500 0.500
# Calculated density ... 6.4 g/cm³
# Calculated formation energy ... 527 meV/atom
# Spin magnetization ... 0.00 μB per formula unit


# Cs2CuHg2, optimized geometry, DFT PBE-GGA
data_Cs2CuHg2
_chemical_formula_sum 'Cs4 Cu2 Hg4'
_symmetry_space_group_name_H-M 'I 4/m m m'
_symmetry_Int_Tables_number 139
_symmetry_space_group_name_Hall '-I 4 2'
_cell_length_a 4.566
_cell_length_b 4.566
_cell_length_c 21.410
_cell_angle_alpha 90.00
_cell_angle_beta 90.00
_cell_angle_gamma 90.00
loop_
_atom_site_label
_atom_site_type_symbol
_atom_site_fract_x
_atom_site_fract_y
_atom_site_fract_z
Cs1 Cs 0.000 0.000 0.100
Cu1 Cu 0.000 0.000 0.500
Hg1 Hg 0.000 0.500 0.250
# Calculated density ... 5.4 g/cm³
# Calculated formation energy ... 65 meV/atom
# Spin magnetization ... 0.00 μB per formula unit


# Cs2CuHg, optimized geometry, DFT PBE-GGA
data_Cs2CuHg
_chemical_formula_sum 'Cs8 Cu4 Hg4'
_symmetry_space_group_name_H-M 'I -4 2 d'
_symmetry_Int_Tables_number 122
_symmetry_space_group_name_Hall 'I -4 2bw'
_cell_length_a 10.022
_cell_length_b 10.022
_cell_length_c 8.392
_cell_angle_alpha 90.00
_cell_angle_beta 90.00
_cell_angle_gamma 90.00
loop_
_atom_site_label
_atom_site_type_symbol
_atom_site_fract_x
_atom_site_fract_y
_atom_site_fract_z
Cs1 Cs 0.221 0.250 0.125
Cu1 Cu 0.000 0.000 0.000
Hg1 Hg 0.000 0.000 0.500
# Calculated density ... 4.2 g/cm³
# Calculated formation energy ... 233 meV/atom
# Spin magnetization ... 0.00 μB per formula unit


# Cs2CuHg2, optimized geometry, DFT PBE-GGA
data_Cs2CuHg2
_chemical_formula_sum 'Cs4 Cu2 Hg4'
_symmetry_space_group_name_H-M 'P 4/m b m'
_symmetry_Int_Tables_number 127
_symmetry_space_group_name_Hall '-P 4 2ab'
_cell_length_a 8.156
_cell_length_b 8.156
_cell_length_c 5.894
_cell_angle_alpha 90.00
_cell_angle_beta 90.00
_cell_angle_gamma 90.00
loop_
_atom_site_label
_atom_site_type_symbol
_atom_site_fract_x
_atom_site_fract_y
_atom_site_fract_z
Cs1 Cs 0.178 0.322 0.000
Cu1 Cu 0.000 0.000 0.500
Hg1 Hg 0.141 0.641 0.500
# Calculated density ... 6.2 g/cm³
# Calculated formation energy ... 69 meV/atom
# Spin magnetization ... 0.00 μB per formula unit